Model one:
Crystalline VC3O at its relaxed geometry. Source: the Alexandria database, functional PBE with a Hubbard U.

Values from the calculation:
N(E_F) = 2.07 states/eV per cell

Lattice parameters (Å, degrees): 3.932 3.932 3.932 90.00 90.00 90.00
Space group Pm-3m (No. 221)
Inequivalent atoms, fractional coordinates:
V 0.000 0.000 0.000 [1 per cell]
C 0.000 0.000 0.500 [3 per cell]
O 0.500 0.500 0.500 [1 per cell]



Model two:
Crystalline VC3O at its relaxed geometry. Source: the Alexandria database, functional PBE with a Hubbard U.

Values from the calculation:
N(E_F) = 2.37 states/eV per cell

Lattice parameters (Å, degrees): 3.505 3.505 3.505 90.00 90.00 90.00
Space group Pm-3m (No. 221)
Inequivalent atoms, fractional coordinates:
V 0.000 0.000 0.000 [1 per cell]
C 0.000 0.500 0.500 [3 per cell]
O 0.500 0.500 0.500 [1 per cell]



model one has the most favorable energy; the next structure is 5.4 kJ/mol of atoms above.